Entry 1:
The following is a DFT calculation (PBE) of an optimized crystal structure of TbDyO4.

a b c (Å): 6.773 3.783 6.244
angles (deg): 90.00 96.54 90.00
Space group Cm (No. 8)
Unique sites:
Tb  0.000  0.000  0.000 [2 per cell]
Dy  0.372  0.000  0.458 [2 per cell]
O  0.038  0.000  0.375 [2 per cell]
O  0.095  0.500  0.786 [2 per cell]
O  0.277  0.500  0.669 [2 per cell]
O  0.334  0.000  0.086 [2 per cell]

Values from the calculation:
Raw formation energy = -2.978 eV per atom
Final energy = -7.82 eV per atom
Size of the total moment = 0.00 μB per formula unit

***

Entry 2:
The following is a DFT calculation (PBE) of an optimized crystal structure of Ba5Li3.

a b c (Å): 9.661 12.837 6.267
angles (deg): 90.00 90.00 90.00
Space group Cmmm (No. 65)
Unique sites:
Ba  0.000  0.000  0.000 [2 per cell]
Ba  0.220  0.500  0.500 [4 per cell]
Ba  0.250  0.250  0.000 [4 per cell]
Li  0.000  0.220  0.500 [4 per cell]
Li  0.000  0.500  0.000 [2 per cell]

Values from the calculation:
Final energy = -1.84 eV per atom
Size of the total moment = 0.00 μB per formula unit
Calculated formation energy = 1.9 kcal/mol of atoms

***

Entry 3:
The following is a DFT calculation (PBE) of an optimized crystal structure of CrPbS2.

a b c (Å): 5.679 5.679 10.846
angles (deg): 90.00 90.00 90.00
Space group I4_1/amd (No. 141, origin choice 2)
Unique sites:
Cr  0.000  0.250  0.375 [4 per cell]
Pb  0.000  0.250  0.875 [4 per cell]
S  0.000  0.250  0.150 [8 per cell]

Values from the calculation:
Raw formation energy = -0.348 eV per atom
Final energy = -5.74 eV per atom
Size of the total moment = 4.00 μB per formula unit

***

Entry 4:
The following is a DFT calculation (PBE) of an optimized crystal structure of KBaCa2Hg.

a b c (Å): 6.087 6.087 6.606
angles (deg): 90.00 90.00 90.00
Space group P4/mmm (No. 123)
Unique sites:
K  0.000  0.000  0.000 [1 per cell]
Ba  0.500  0.500  0.000 [1 per cell]
Ca  0.000  0.500  0.500 [2 per cell]
Hg  0.000  0.000  0.500 [1 per cell]

Values from the calculation:
Final energy = -1.51 eV per atom
Size of the total moment = 0.00 μB per formula unit
Calculated formation energy = -1.0 kcal/mol of atoms

***

> Which of these has the highest size of the total moment?

CrPbS2